# 1
VASP calculation (GGA-PBE) on an optimized crystal structure of CaPt2Rh.

```
4
Lattice="0.000 3.277 3.277 3.277 0.000 3.277 3.277 3.277 0.000" Properties=species:S:1:pos:R:3 pbc="T T T"
Ca 0.000 0.000 0.000
Pt 1.638 1.638 1.638
Pt 4.915 4.915 4.915
Rh 3.277 3.277 3.277
```

total energy	-5.56	eV/atom
ρ	12.58	g/cm³
volume	70.4	Å³/f.u.
space-group type	Fm-3m (225)
energy relative to the elements	-19.81	kJ per mole of atoms
density of states at the Fermi level	1.6015	states/eV per atom

---

# 2
VASP calculation (GGA-PBE) on an optimized crystal structure of Pr2Dy3HoTm6.

```
12
Lattice="3.071 -5.315 0.000 3.071 5.315 0.000 -2.040 0.000 11.509" Properties=species:S:1:pos:R:3 pbc="T T T"
Pr 3.071 3.545 0.000
Pr 3.071 -3.545 0.000
Dy -1.020 0.000 5.755
Dy 2.051 1.771 5.755
Dy 2.051 -1.771 5.755
Ho 3.071 0.000 0.000
Tm 0.004 1.768 8.599
Tm 1.033 0.000 2.914
Tm 0.004 -1.768 8.599
Tm 4.097 1.768 2.910
Tm 3.068 0.000 8.595
Tm 4.097 -1.768 2.910
```

total energy	-4.54	eV/atom
ρ	8.61	g/cm³
volume	375.6	Å³/f.u.
space-group type	C2/m (12)
energy relative to the elements	2.19	kJ per mole of atoms
density of states at the Fermi level	1.2740	states/eV per atom

---

# 3
VASP calculation (GGA-PBE) on an optimized crystal structure of Na2AlSbS4.

```
16
Lattice="9.179 0.000 0.000 0.000 7.549 0.000 0.000 0.000 5.980" Properties=species:S:1:pos:R:3 pbc="T T T"
Na 2.225 1.270 0.000
Na 2.364 6.279 2.990
Na 6.815 6.279 2.990
Na 6.953 1.270 0.000
Al 0.000 2.669 3.254
Al 4.589 4.879 0.264
Sb 0.000 5.275 0.122
Sb 4.589 2.274 3.112
S 0.000 2.907 5.554
S 0.000 4.877 2.593
S 1.892 1.523 2.841
S 2.698 6.026 5.831
S 4.589 2.671 5.583
S 4.589 4.642 2.564
S 6.481 6.026 5.831
S 7.287 1.523 2.841
```

total energy	-4.25	eV/atom
ΔE_f (raw)	-0.88	eV/atom
ρ	2.59	g/cm³
volume	207.2	Å³/f.u.
space-group type	Pmn2_1 (31)
density of states at the Fermi level	0.0000	states/eV per atom

---

# 4
VASP calculation (GGA-PBE) on an optimized crystal structure of AcYHo2S4.

```
8
Lattice="6.927 0.000 0.000 0.000 3.946 0.000 -2.259 0.000 6.653" Properties=species:S:1:pos:R:3 pbc="T T T"
Ac 0.000 0.000 0.000
Y 3.463 1.973 0.000
Ho -1.130 1.973 3.327
Ho 2.334 0.000 3.327
S 0.116 0.000 4.902
S 1.251 1.973 1.816
S 3.416 1.973 4.838
S 4.551 0.000 1.752
```

total energy	-6.48	eV/atom
ΔE_f (raw)	-1.95	eV/atom
ρ	7.07	g/cm³
volume	181.9	Å³/f.u.
space-group type	P2/m (10)
density of states at the Fermi level	0.5803	states/eV per atom

---

# 5
VASP calculation (GGA-PBE) on an optimized crystal structure of Hf2Al3Co.

```
12
Lattice="5.231 0.000 0.000 -2.615 4.530 0.000 0.000 0.000 8.232" Properties=species:S:1:pos:R:3 pbc="T T T"
Hf 0.000 3.020 0.498
Hf 0.000 3.020 3.618
Hf 2.615 1.510 4.614
Hf 2.615 1.510 7.734
Al 0.000 1.504 6.174
Al -1.313 3.778 6.174
Al 1.303 0.752 2.058
Al 1.313 3.778 6.174
Al 3.928 0.752 2.058
Al 2.615 3.026 2.058
Co 0.000 0.000 0.000
Co 0.000 0.000 4.116
```

total energy	-6.87	eV/atom
ρ	8.46	g/cm³
volume	97.5	Å³/f.u.
space-group type	P6_3/mmc (194)
energy relative to the elements	-47.67	kJ per mole of atoms
density of states at the Fermi level	0.9159	states/eV per atom

---

# 6
VASP calculation (GGA-PBE) on an optimized crystal structure of KAg2Bi2O6.

```
11
Lattice="6.097 0.000 0.000 2.964 5.375 0.000 0.130 3.279 6.287" Properties=species:S:1:pos:R:3 pbc="T T T"
K 0.000 0.000 0.000
Ag 2.052 2.818 3.098
Ag 7.138 5.835 3.189
Bi 3.193 5.093 6.181
Bi 5.997 3.561 0.106
O 1.252 2.178 1.233
O 2.562 3.220 5.103
O 4.125 3.221 1.205
O 5.065 5.433 5.082
O 6.628 5.434 1.184
O 7.938 6.476 5.054
```

total energy	-4.80	eV/atom
ΔE_f (raw)	-0.77	eV/atom
ρ	6.20	g/cm³
volume	206.0	Å³/f.u.
space-group type	P-1 (2)
density of states at the Fermi level	0.2467	states/eV per atom

---

# 7
VASP calculation (GGA-PBE) on an optimized crystal structure of Ba2LiTmCu3O7.

```
14
Lattice="3.758 0.000 0.000 0.000 4.044 0.000 0.000 0.000 12.871" Properties=species:S:1:pos:R:3 pbc="T T T"
Ba 0.000 0.000 0.000
Ba 0.000 0.000 4.005
Li 0.000 2.022 5.994
Tm 0.000 0.000 9.173
Cu 1.879 2.022 2.272
Cu 1.879 2.022 7.769
Cu 1.879 2.022 10.828
O 0.000 2.022 7.822
O 0.000 2.022 10.525
O 1.879 0.000 2.241
O 1.879 0.000 7.810
O 1.879 0.000 10.636
O 1.879 2.022 0.393
O 1.879 2.022 4.438
```

total energy	-5.79	eV/atom
ΔE_f (raw)	-1.70	eV/atom
ρ	6.39	g/cm³
excess energy over the best structure of this formula in the dataset	60.6	meV per atom
volume	195.6	Å³/f.u.
space-group type	Pmm2 (25)
density of states at the Fermi level	0.2439	states/eV per atom

---

# 8
VASP calculation (GGA-PBE) on an optimized crystal structure of Cr3Pd12Au.

```
16
Lattice="3.930 0.000 0.000 0.000 3.930 0.000 0.000 0.000 15.721" Properties=species:S:1:pos:R:3 pbc="T T T"
Cr 0.000 0.000 0.000
Cr 0.000 0.000 3.881
Cr 0.000 0.000 11.839
Pd 0.000 1.965 1.941
Pd 0.000 1.965 5.778
Pd 0.000 1.965 9.943
Pd 0.000 1.965 13.780
Pd 1.965 0.000 1.941
Pd 1.965 0.000 5.778
Pd 1.965 0.000 9.943
Pd 1.965 0.000 13.780
Pd 1.965 1.965 0.000
Pd 1.965 1.965 3.861
Pd 1.965 1.965 7.860
Pd 1.965 1.965 11.860
Au 0.000 0.000 7.860
```

total energy	-5.97	eV/atom
ρ	11.15	g/cm³
volume	242.8	Å³/f.u.
space-group type	P4/mmm (123)
energy relative to the elements	-6.70	kJ per mole of atoms
density of states at the Fermi level	1.7546	states/eV per atom

---

# 9
VASP calculation (GGA-PBE) on an optimized crystal structure of Pr4HSe5.

```
10
Lattice="9.940 -2.095 0.000 9.940 2.095 0.000 -3.050 0.000 7.181" Properties=species:S:1:pos:R:3 pbc="T T T"
Pr -0.754 0.000 1.776
Pr 17.585 0.000 5.405
Pr 3.197 0.000 5.604
Pr 13.634 0.000 1.577
H 9.940 0.000 0.000
Se 1.997 0.000 2.870
Se 0.395 0.000 6.639
Se 8.415 0.000 3.590
Se 16.436 0.000 0.542
Se 14.834 0.000 4.311
```

total energy	-5.50	eV/atom
ρ	5.33	g/cm³
volume	299.0	Å³/f.u.
space-group type	C2/m (12)
density of states at the Fermi level	0.1666	states/eV per atom

---

# 10
VASP calculation (GGA-PBE) on an optimized crystal structure of Ac4Si5Ge2.

```
11
Lattice="7.199 0.000 0.000 0.000 4.746 0.000 -0.151 0.000 8.159" Properties=species:S:1:pos:R:3 pbc="T T T"
Ac 1.690 0.000 1.055
Ac 1.740 0.000 5.119
Ac 5.308 0.000 3.041
Ac 5.358 0.000 7.105
Si 0.673 2.373 7.228
Si 3.141 2.373 2.890
Si 3.599 2.373 0.000
Si 3.907 2.373 5.269
Si 6.375 2.373 0.932
Ge 0.625 2.373 3.013
Ge 6.423 2.373 5.146
```

total energy	-5.32	eV/atom
ΔE_f (raw)	-0.52	eV/atom
ρ	7.11	g/cm³
volume	278.8	Å³/f.u.
space-group type	P2/m (10)
density of states at the Fermi level	0.4044	states/eV per atom

---

# 11
VASP calculation (GGA-PBE) on an optimized crystal structure of YSe2Cl.

```
4
Lattice="2.225 1.284 6.652 -2.225 1.284 6.652 0.000 -2.569 6.652" Properties=species:S:1:pos:R:3 pbc="T T T"
Y 0.000 0.000 0.000
Se 0.000 0.000 5.390
Se 0.000 0.000 14.567
Cl 0.000 0.000 9.978
```

total energy	-4.63	eV/atom
ΔE_f (raw)	-0.81	eV/atom
ρ	4.11	g/cm³
excess energy over the best structure of this formula in the dataset	591.1	meV per atom
volume	114.0	Å³/f.u.
space-group type	R-3m (166)
density of states at the Fermi level	1.0500	states/eV per atom

---

# 12
VASP calculation (GGA-PBE) on an optimized crystal structure of PtWAu2.

```
4
Lattice="-2.054 2.054 3.941 2.054 -2.054 3.941 2.054 2.054 -3.941" Properties=species:S:1:pos:R:3 pbc="T T T"
Pt 0.000 0.000 0.000
W 0.000 0.000 3.941
Au 2.054 0.000 1.970
Au 0.000 2.054 1.970
```

total energy	-6.07	eV/atom
ρ	19.30	g/cm³
excess energy over the best structure of this formula in the dataset	319.7	meV per atom
volume	66.5	Å³/f.u.
space-group type	I4/mmm (139)
energy relative to the elements	30.89	kJ per mole of atoms
density of states at the Fermi level	0.6979	states/eV per atom